[1]
# RbMnBi3

An optimized crystal structure of RbMnBi3 (PBE-GGA, Alexandria via LeMat-Bulk).

Calculated values
Magnetic moment (μB per formula unit): 0.000
Calculated volume (Å³/atom): 30.90
Offset from the most stable computed form (meV/atom): 0
ρ (g cm⁻³): 8.2
ΔE_f (kcal/mol of atoms): 7.7

Geometry as CIF:
```
data_RbMnBi3
_symmetry_space_group_name_H-M 'P m -3 m'
_symmetry_Int_Tables_number 221
_symmetry_space_group_name_Hall '-P 4 2 3'
_cell_length_a 5.366
_cell_length_b 5.366
_cell_length_c 5.366
_cell_angle_alpha 90.00
_cell_angle_beta 90.00
_cell_angle_gamma 90.00
loop_
_atom_site_label
_atom_site_type_symbol
_atom_site_fract_x
_atom_site_fract_y
_atom_site_fract_z
Rb1 Rb 0.000 0.000 0.000
Mn1 Mn 0.500 0.500 0.500
Bi1 Bi 0.000 0.500 0.500
```

---

[2]
# RbMn3Bi

An optimized crystal structure of RbMn3Bi (PBE-GGA, Alexandria via LeMat-Bulk).

Calculated values
Magnetic moment (μB per formula unit): 11.955
Calculated volume (Å³/atom): 32.97
Offset from the most stable computed form (meV/atom): 0
ρ (g cm⁻³): 4.6
ΔE_f (kcal/mol of atoms): 25.8

Geometry as CIF:
```
data_RbMn3Bi
_symmetry_space_group_name_H-M 'P m -3 m'
_symmetry_Int_Tables_number 221
_symmetry_space_group_name_Hall '-P 4 2 3'
_cell_length_a 5.483
_cell_length_b 5.483
_cell_length_c 5.483
_cell_angle_alpha 90.00
_cell_angle_beta 90.00
_cell_angle_gamma 90.00
loop_
_atom_site_label
_atom_site_type_symbol
_atom_site_fract_x
_atom_site_fract_y
_atom_site_fract_z
Rb1 Rb 0.000 0.000 0.000
Mn1 Mn 0.000 0.500 0.500
Bi1 Bi 0.500 0.500 0.500
```

---

[3]
# RbMnBi2

An optimized crystal structure of RbMnBi2 (PBE-GGA, Alexandria via LeMat-Bulk).

Calculated values
Magnetic moment (μB per formula unit): 3.107
Calculated volume (Å³/atom): 34.08
Offset from the most stable computed form (meV/atom): 0
ρ (g cm⁻³): 6.8
ΔE_f (kcal/mol of atoms): 0.0

Geometry as CIF:
```
data_RbMnBi2
_symmetry_space_group_name_H-M 'R -3 m'
_symmetry_Int_Tables_number 166
_symmetry_space_group_name_Hall '-R 3 2"'
_cell_length_a 4.3961
_cell_length_b 4.3961
_cell_length_c 24.4366
_cell_angle_alpha 90.00
_cell_angle_beta 90.00
_cell_angle_gamma 120.00
loop_
_atom_site_label
_atom_site_type_symbol
_atom_site_fract_x
_atom_site_fract_y
_atom_site_fract_z
Rb1 Rb 0.0000 0.0000 0.0000
Mn1 Mn 0.0000 0.0000 0.5000
Bi1 Bi 0.0000 0.0000 0.2183
```

---

[4]
# RbMn3Bi

An optimized crystal structure of RbMn3Bi (PBE-GGA, Alexandria via LeMat-Bulk).

Calculated values
Magnetic moment (μB per formula unit): 12.324
Calculated volume (Å³/atom): 27.22
Offset from the most stable computed form (meV/atom): 950
ρ (g cm⁻³): 5.6
ΔE_f (kcal/mol of atoms): 47.7

Geometry as CIF:
```
data_RbMn3Bi
_symmetry_space_group_name_H-M 'P m -3 m'
_symmetry_Int_Tables_number 221
_symmetry_space_group_name_Hall '-P 4 2 3'
_cell_length_a 5.144
_cell_length_b 5.144
_cell_length_c 5.144
_cell_angle_alpha 90.00
_cell_angle_beta 90.00
_cell_angle_gamma 90.00
loop_
_atom_site_label
_atom_site_type_symbol
_atom_site_fract_x
_atom_site_fract_y
_atom_site_fract_z
Rb1 Rb 0.000 0.000 0.000
Mn1 Mn 0.000 0.000 0.500
Bi1 Bi 0.500 0.500 0.500
```